The following is a DFT calculation (PBE) of an optimized crystal structure of Dy4HoEr.

Total magnetization (μB per atom): 0.008
DOS(E_F) (states/eV/f.u.): 9.58
Energy of formation (eV per atom): 0.263

Geometry as extended XYZ:
```
6
Lattice="0.000 4.606 4.606 4.606 0.000 4.606 4.606 4.606 0.000" Properties=species:S:1:pos:R:3 pbc="T T T"
Dy 1.152 1.152 1.152
Dy 3.455 3.455 1.152
Dy 3.455 1.152 3.455
Dy 1.152 3.455 3.455
Ho 6.909 6.909 6.909
Er 4.606 4.606 4.606
```

---

The following is a DFT calculation (PBE) of an optimized crystal structure of Ho6AgSe5.

Total magnetization (μB per atom): 0.000
DOS(E_F) (states/eV/f.u.): 4.85
Raw formation energy (eV/atom): -1.486

Geometry as extended XYZ:
```
12
Lattice="3.533 -6.135 0.000 3.533 6.135 0.000 -2.374 0.000 6.650" Properties=species:S:1:pos:R:3 pbc="T T T"
Ho 1.170 2.060 1.652
Ho -0.009 0.000 4.981
Ho 1.170 -2.060 1.652
Ho 3.522 2.060 4.999
Ho 4.702 0.000 1.669
Ho 3.522 -2.060 4.999
Ag 0.000 0.000 0.000
Se 2.346 4.059 3.325
Se 3.533 2.026 0.000
Se 2.346 0.000 3.325
Se 3.533 -2.026 0.000
Se 2.346 -4.059 3.325
```

---

The following is a DFT calculation (PBE) of an optimized crystal structure of Li3Ca3Pb2Au.

Total magnetization (μB per atom): 0.000
DOS(E_F) (states/eV/f.u.): 6.27
Energy of formation (eV per atom): -0.456

Geometry as extended XYZ:
```
9
Lattice="7.465 0.000 0.000 -3.733 6.465 0.000 0.000 0.000 4.807" Properties=species:S:1:pos:R:3 pbc="T T T"
Li -2.896 5.016 0.000
Li 0.837 1.449 0.000
Li 5.792 0.000 0.000
Ca -1.531 2.652 2.404
Ca 3.062 0.000 2.404
Ca 2.202 3.813 2.404
Pb 0.000 4.310 0.000
Pb 3.733 2.155 0.000
Au 0.000 0.000 2.404
```

---

The following is a DFT calculation (PBE) of an optimized crystal structure of LiSiBi3.

Total magnetization (μB per atom): 0.000
DOS(E_F) (states/eV/f.u.): 3.40
Raw formation energy (eV/atom): 0.454

Geometry as extended XYZ:
```
5
Lattice="5.496 0.000 0.000 0.000 5.496 0.000 0.000 0.000 5.496" Properties=species:S:1:pos:R:3 pbc="T T T"
Li 0.000 0.000 0.000
Si 2.748 2.748 2.748
Bi 0.000 2.748 2.748
Bi 2.748 0.000 2.748
Bi 2.748 2.748 0.000
```

---

The following is a DFT calculation (PBE) of an optimized crystal structure of K2CaRhCl6.

Total magnetization (μB per atom): 0.101
DOS(E_F) (states/eV/f.u.): 2.06
Raw formation energy (eV/atom): -1.540

Geometry as extended XYZ:
```
20
Lattice="7.366 0.000 0.000 0.000 10.126 0.000 0.000 0.000 7.369" Properties=species:S:1:pos:R:3 pbc="T T T"
K 1.842 0.002 1.833
K 1.842 5.061 1.833
K 5.525 10.124 5.536
K 5.525 5.066 5.536
Ca 1.842 2.532 5.520
Ca 5.525 7.595 1.848
Rh 1.842 7.595 5.531
Rh 5.525 2.532 1.838
Cl 0.054 7.595 3.749
Cl 0.056 7.595 7.317
Cl 1.842 5.236 5.533
Cl 1.842 9.954 5.533
Cl 3.627 7.595 7.317
Cl 3.629 7.595 3.749
Cl 3.737 2.532 3.620
Cl 3.739 2.532 0.052
Cl 5.525 0.173 1.835
Cl 5.525 4.890 1.835
Cl 7.310 2.532 0.052
Cl 7.312 2.532 3.620
```

---

The following is a DFT calculation (PBE) of an optimized crystal structure of NaBeFe2Ru.

Total magnetization (μB per atom): 1.356
DOS(E_F) (states/eV/f.u.): 3.94
Energy of formation (eV per atom): 1.104

Geometry as extended XYZ:
```
5
Lattice="4.067 0.000 0.000 0.000 4.067 0.000 0.000 0.000 4.322" Properties=species:S:1:pos:R:3 pbc="T T T"
Na 0.000 0.000 0.000
Be 0.000 0.000 2.161
Fe 0.000 2.033 2.161
Fe 2.033 0.000 2.161
Ru 2.033 2.033 0.000
```

---

The following is a DFT calculation (PBE) of an optimized crystal structure of TaPd7Pt3.

Total magnetization (μB per atom): 0.000
DOS(E_F) (states/eV/f.u.): 15.82
Energy of formation (eV per atom): -0.158

Geometry as extended XYZ:
```
11
Lattice="5.565 0.000 0.000 -2.782 4.819 0.000 0.000 0.000 6.744" Properties=species:S:1:pos:R:3 pbc="T T T"
Ta 0.000 0.000 0.000
Pd 1.388 0.802 2.267
Pd 0.000 3.213 2.281
Pd 2.782 0.019 6.744
Pd 1.407 2.400 6.744
Pd 4.176 0.802 2.267
Pd 2.782 3.216 2.267
Pd 4.157 2.400 6.744
Pt 0.000 1.600 4.545
Pt -1.397 4.019 4.545
Pt 1.397 4.019 4.545
```

---

The following is a DFT calculation (PBE) of an optimized crystal structure of CsCd.

Total magnetization (μB per atom): 0.000
DOS(E_F) (states/eV/f.u.): 1.54
Energy of formation (eV per atom): -0.064

Geometry as extended XYZ:
```
4
Lattice="2.680 1.547 9.364 -2.680 1.547 9.364 0.000 -3.094 9.364" Properties=species:S:1:pos:R:3 pbc="T T T"
Cs 0.000 0.000 2.492
Cs 0.000 0.000 25.601
Cd 0.000 0.000 9.361
Cd 0.000 0.000 18.731
```